VASP calculation (GGA+U) on a relaxed structure of BaMg6VO8.

Cell and atoms, written as CIF:
```
data_BaMg6VO8
_symmetry_space_group_name_H-M 'P 4/m m m'
_symmetry_Int_Tables_number 123
_symmetry_space_group_name_Hall '-P 4 2'
_cell_length_a 4.658
_cell_length_b 4.658
_cell_length_c 8.874
_cell_angle_alpha 90.00
_cell_angle_beta 90.00
_cell_angle_gamma 90.00
loop_
_atom_site_label
_atom_site_type_symbol
_atom_site_fract_x
_atom_site_fract_y
_atom_site_fract_z
_atom_site_occupancy
Ba1 Ba 0.000 0.000 0.000 1
Mg1 Mg 0.000 0.000 0.500 1
Mg2 Mg 0.000 0.500 0.268 1
Mg3 Mg 0.500 0.500 0.500 1
V1 V 0.500 0.500 0.000 1
O1 O 0.000 0.000 0.283 1
O2 O 0.000 0.500 0.000 1
O3 O 0.000 0.500 0.500 1
O4 O 0.500 0.500 0.258 1
```

Computed properties:
mass density = 4.0 g/cm3
calculated total energy = -93.74 eV for the cell shown